A crystal of SrLa7Cu4Sn4O24 relaxed with PBEsol, computed with meta-GGA SCAN.

## Properties
The volume comes out at 508.4 Å³ per cell. As for the formation energy without anion corrections: -2554.7 meV/atom. The calculation puts the total magnetization at 0.00 μB per formula unit.

Cell: 7.762 7.759 8.446 Å, 90.00 91.57 90.00°
Space group Pm (No. 6)
Asymmetric unit:
1 Sr 0.000 0.000 0.000 [1 per cell]
2 La 0.006 0.000 0.435 [1 per cell]
3 La 0.440 0.500 0.018 [1 per cell]
4 La 0.441 0.500 0.461 [1 per cell]
5 La 0.490 0.000 0.426 [1 per cell]
6 La 0.512 0.000 0.988 [1 per cell]
7 La 0.930 0.500 0.473 [1 per cell]
8 La 0.952 0.500 0.034 [1 per cell]
9 Cu 0.222 0.249 0.227 [2 per cell]
10 Cu 0.722 0.250 0.229 [2 per cell]
11 Sn 0.220 0.249 0.731 [2 per cell]
12 Sn 0.722 0.250 0.731 [2 per cell]
13 O 0.172 0.307 0.962 [2 per cell]
14 O 0.192 0.500 0.643 [1 per cell]
15 O 0.209 0.000 0.222 [1 per cell]
16 O 0.243 0.500 0.244 [1 per cell]
17 O 0.255 0.000 0.813 [1 per cell]
18 O 0.276 0.201 0.498 [2 per cell]
19 O 0.472 0.225 0.194 [2 per cell]
20 O 0.472 0.303 0.797 [2 per cell]
21 O 0.638 0.000 0.695 [1 per cell]
22 O 0.671 0.299 0.495 [2 per cell]
23 O 0.694 0.500 0.209 [1 per cell]
24 O 0.746 0.000 0.259 [1 per cell]
25 O 0.762 0.209 0.968 [2 per cell]
26 O 0.809 0.500 0.764 [1 per cell]
27 O 0.969 0.202 0.654 [2 per cell]
28 O 0.972 0.278 0.267 [2 per cell]